VASP calculation (PBE) on an optimized crystal structure of Co2PbAu.

Cell lengths 4.7214, 4.7214, 5.1404 Å; angles 68.89, 68.89, 43.23 degrees
Each line ends with the local moment (μB).
Sites, in units of the cell vectors:
Pb 0.7500 0.7500 0.7500  -0.03
Co 0.5024 0.5024 0.4033  1.63
Co 0.9976 0.9976 0.0967  1.63
Au 0.2500 0.2500 0.2500  0.03

Summary:
Energy relative to the elements, kJ/mol of formula units: 170.3
Total energy, eV per cell: -19.43
ρ, g cm⁻³: 12.0



VASP calculation (PBE) on an optimized crystal structure of KLiCd.

Cell lengths 4.9763, 4.9763, 4.9984 Å; angles 90.00, 90.00, 120.00 degrees
Sites, in units of the cell vectors:
Li 0.3333 0.6667 0.8327
K 0.6667 0.3333 0.3334
Cd 0.0000 0.0000 0.8340

Summary:
Energy relative to the elements, kJ/mol of formula units: 7.4
Total energy, eV per cell: -3.85
ΔE to the lowest computed polymorph, eV per formula unit: 0.18
ρ, g cm⁻³: 2.5



VASP calculation (PBE) on an optimized crystal structure of CoHg2Pb.

Cell lengths 4.5638, 3.8631, 5.6011 Å; angles 67.54, 90.00, 90.00 degrees
Each line ends with the local moment (μB).
Sites, in units of the cell vectors:
Pb 0.5000 0.2500 0.2500  -0.02
Hg 0.0000 0.8921 0.9645  0.00
Hg 0.0000 0.6079 0.5355  0.00
Co 0.5000 0.7500 0.7500  1.46

Summary:
Energy relative to the elements, kJ/mol of formula units: 160.7
Total energy, eV per cell: -9.75
ρ, g cm⁻³: 12.1